{"formula": "RbAsH", "functional": "PBE", "state": "relaxed", "relative_energy_ev_per_atom": 0.030, "cell": [[4.215, 0.000, 0.000], [-0.122, 6.133, 0.000], [-0.142, -1.868, 5.850]], "species": ["Rb", "Rb", "As", "As", "H", "H"], "fractional_positions": [[0.609, 0.947, 0.516], [0.604, 0.504, 0.960], [0.089, 0.050, 0.063], [0.124, 0.400, 0.413], [0.459, 0.040, 0.050], [0.754, 0.415, 0.422]]}

***

{"formula": "RbAsH2Rh2", "functional": "PBE", "state": "relaxed", "cell": [[5.524, 0.000, 0.000], [0.000, 6.718, 0.074], [0.000, -2.365, 6.879]], "species": ["Rb", "Rb", "As", "As", "H", "H", "H", "H", "Rh", "Rh", "Rh", "Rh"], "fractional_positions": [[0.750, 0.305, 0.679], [0.250, 0.695, 0.321], [0.250, 0.149, 0.906], [0.750, 0.851, 0.094], [0.250, 0.218, 0.338], [0.250, 0.675, 0.732], [0.750, 0.782, 0.662], [0.750, 0.325, 0.268], [0.500, 0.162, 0.181], [0.000, 0.162, 0.181], [0.000, 0.838, 0.819], [0.500, 0.838, 0.819]]}

***

{"formula": "RbAsH2Ru", "functional": "PBE", "state": "relaxed", "cell": [[4.304, 0.000, 0.000], [0.000, 4.606, 0.000], [0.000, 0.000, 4.304]], "species": ["Ru", "As", "Rb", "H", "H"], "fractional_positions": [[0.000, 0.000, 0.000], [0.000, 0.500, 0.000], [0.500, 0.500, 0.500], [0.000, 0.000, 0.500], [0.500, 0.000, 0.000]]}

***

{"formula": "Rb3As2H6S", "functional": "PBE", "state": "relaxed", "cell": [[-4.042, -4.303, 0.378], [3.386, 0.461, -4.828], [4.966, -4.395, 3.062]], "species": ["Rb", "Rb", "Rb", "As", "As", "H", "H", "H", "H", "H", "H", "S"], "fractional_positions": [[0.333, 0.667, 0.627], [0.667, 0.333, 0.373], [0.000, 0.000, 0.000], [0.667, 0.333, 0.884], [0.333, 0.667, 0.116], [0.584, 0.792, 0.248], [0.208, 0.416, 0.248], [0.208, 0.792, 0.248], [0.792, 0.584, 0.752], [0.416, 0.208, 0.752], [0.792, 0.208, 0.752], [0.000, 0.000, 0.500]]}

***

{"formula": "RbAsHSe2", "functional": "PBE", "state": "relaxed", "relative_energy_ev_per_atom": 1.125, "cell": [[-2.559, 3.768, -5.026], [-6.161, -2.567, 1.211], [-1.371, 5.602, 4.898]], "species": ["H", "As", "Se", "Se", "Rb"], "fractional_positions": [[0.500, 0.500, 0.500], [0.000, 0.000, 0.500], [0.000, 0.500, 0.000], [0.500, 0.000, 0.000], [0.000, 0.000, 0.000]]}

***

{"formula": "RbAsHSe2", "functional": "PBE", "state": "relaxed", "relative_energy_ev_per_atom": 0.000, "cell": [[-0.510, -3.375, -3.845], [-3.665, -2.454, 2.641], [-2.773, 2.334, -1.681]], "species": ["H", "As", "Se", "Se", "Rb"], "fractional_positions": [[0.000, 0.000, 0.000], [0.000, 0.000, 0.500], [0.000, 0.500, 0.000], [0.500, 0.000, 0.000], [0.500, 0.500, 0.500]]}

***

Number 1: E -3.24 eV per atom. Number 2: E -4.70 eV per atom. Number 3: E -4.01 eV per atom. Number 4: E -3.19 eV per atom. Number 5: E -1.80 eV per atom. Number 6: E -2.93 eV per atom.